Version one
BaAcSm2: relaxed, GGA-PBE.

The structure in CIF format:
```
data_BaAcSm2
_space_group_name_H-M_alt 'P 4/m m m'
_space_group_IT_number 123
_space_group_name_Hall '-P 4 2'
_cell_length_a 5.531
_cell_length_b 5.531
_cell_length_c 5.352
_cell_angle_alpha 90.00
_cell_angle_beta 90.00
_cell_angle_gamma 90.00
loop_
_atom_site_label
_atom_site_type_symbol
_atom_site_fract_x
_atom_site_fract_y
_atom_site_fract_z
_atom_site_occupancy
Ba1 Ba 0.000 0.000 0.000 1
Ac1 Ac 0.500 0.500 0.000 1
Sm1 Sm 0.000 0.500 0.500 1
```

Values from the calculation:
Calculated density = 6.75 Mg/m³
D(E_F) = 7.54 states/eV/f.u.

***

Version two
BaAcSm2: relaxed, GGA-PBE.

The structure in CIF format:
```
data_BaAcSm2
_space_group_name_H-M_alt 'R 3 m'
_space_group_IT_number 160
_space_group_name_Hall 'R 3 -2"'
_cell_length_a 3.8745
_cell_length_b 3.8745
_cell_length_c 37.9930
_cell_angle_alpha 90.00
_cell_angle_beta 90.00
_cell_angle_gamma 120.00
loop_
_atom_site_label
_atom_site_type_symbol
_atom_site_fract_x
_atom_site_fract_y
_atom_site_fract_z
_atom_site_occupancy
Ba1 Ba 0.0000 0.0000 0.0000 1
Ac1 Ac 0.0000 0.0000 0.8342 1
Sm1 Sm 0.0000 0.0000 0.4205 1
Sm2 Sm 0.0000 0.0000 0.5804 1
```

Values from the calculation:
Calculated density = 6.71 Mg/m³
D(E_F) = 6.56 states/eV/f.u.

***

Version three
BaAcSm2: relaxed, GGA-PBE.

The structure in CIF format:
```
data_BaAcSm2
_space_group_name_H-M_alt 'R -3 m'
_space_group_IT_number 166
_space_group_name_Hall '-R 3 2"'
_cell_length_a 3.7807
_cell_length_b 3.7807
_cell_length_c 40.0338
_cell_angle_alpha 90.00
_cell_angle_beta 90.00
_cell_angle_gamma 120.00
loop_
_atom_site_label
_atom_site_type_symbol
_atom_site_fract_x
_atom_site_fract_y
_atom_site_fract_z
_atom_site_occupancy
Ba1 Ba 0.0000 0.0000 0.0000 1
Ac1 Ac 0.0000 0.0000 0.5000 1
Sm1 Sm 0.0000 0.0000 0.0916 1
```

Values from the calculation:
Calculated density = 6.69 Mg/m³
D(E_F) = 7.32 states/eV/f.u.

***

Version four
BaAcSm2: relaxed, GGA-PBE.

The structure in CIF format:
```
data_BaAcSm2
_space_group_name_H-M_alt 'P 4/m m m'
_space_group_IT_number 123
_space_group_name_Hall '-P 4 2'
_cell_length_a 3.872
_cell_length_b 3.872
_cell_length_c 11.057
_cell_angle_alpha 90.00
_cell_angle_beta 90.00
_cell_angle_gamma 90.00
loop_
_atom_site_label
_atom_site_type_symbol
_atom_site_fract_x
_atom_site_fract_y
_atom_site_fract_z
_atom_site_occupancy
Ba1 Ba 0.000 0.000 0.000 1
Ac1 Ac 0.000 0.000 0.500 1
Sm1 Sm 0.500 0.500 0.272 1
```

Values from the calculation:
Calculated density = 6.66 Mg/m³
D(E_F) = 7.38 states/eV/f.u.

***

Most stable: version four

***

Version one
BaAc4Sm: relaxed, GGA-PBE.

The structure in CIF format:
```
data_BaAc4Sm
_space_group_name_H-M_alt 'P 4/m m m'
_space_group_IT_number 123
_space_group_name_Hall '-P 4 2'
_cell_length_a 3.997
_cell_length_b 3.997
_cell_length_c 16.925
_cell_angle_alpha 90.00
_cell_angle_beta 90.00
_cell_angle_gamma 90.00
loop_
_atom_site_label
_atom_site_type_symbol
_atom_site_fract_x
_atom_site_fract_y
_atom_site_fract_z
_atom_site_occupancy
Ba1 Ba 0.000 0.000 0.000 1
Ac1 Ac 0.000 0.000 0.351 1
Ac2 Ac 0.500 0.500 0.190 1
Sm1 Sm 0.500 0.500 0.500 1
```

Values from the calculation:
Calculated density = 7.34 Mg/m³
D(E_F) = 10.50 states/eV/f.u.

***

Version two
BaAc4Sm: relaxed, GGA-PBE.

The structure in CIF format:
```
data_BaAc4Sm
_space_group_name_H-M_alt 'F -4 3 m'
_space_group_IT_number 216
_space_group_name_Hall 'F -4 2 3'
_cell_length_a 10.453
_cell_length_b 10.453
_cell_length_c 10.453
_cell_angle_alpha 90.00
_cell_angle_beta 90.00
_cell_angle_gamma 90.00
loop_
_atom_site_label
_atom_site_type_symbol
_atom_site_fract_x
_atom_site_fract_y
_atom_site_fract_z
_atom_site_occupancy
Ba1 Ba 0.000 0.000 0.000 1
Ac1 Ac 0.123 0.123 0.623 1
Sm1 Sm 0.250 0.250 0.250 1
```

Values from the calculation:
Calculated density = 6.95 Mg/m³
D(E_F) = 8.67 states/eV/f.u.

***

Most stable: version one

***

Version one
Ba2AcSn: relaxed, GGA-PBE.

The structure in CIF format:
```
data_Ba2AcSn
_space_group_name_H-M_alt 'R -3 m'
_space_group_IT_number 166
_space_group_name_Hall '-R 3 2"'
_cell_length_a 4.0673
_cell_length_b 4.0673
_cell_length_c 41.3210
_cell_angle_alpha 90.00
_cell_angle_beta 90.00
_cell_angle_gamma 120.00
loop_
_atom_site_label
_atom_site_type_symbol
_atom_site_fract_x
_atom_site_fract_y
_atom_site_fract_z
_atom_site_occupancy
Ba1 Ba 0.0000 0.0000 0.0844 1
Ac1 Ac 0.0000 0.0000 0.5000 1
Sn1 Sn 0.0000 0.0000 0.0000 1
```

Values from the calculation:
Calculated density = 5.22 Mg/m³
D(E_F) = 5.34 states/eV/f.u.

***

Version two
Ba2AcSn: relaxed, GGA-PBE.

The structure in CIF format:
```
data_Ba2AcSn
_space_group_name_H-M_alt 'P 4/m m m'
_space_group_IT_number 123
_space_group_name_Hall '-P 4 2'
_cell_length_a 5.327
_cell_length_b 5.327
_cell_length_c 5.774
_cell_angle_alpha 90.00
_cell_angle_beta 90.00
_cell_angle_gamma 90.00
loop_
_atom_site_label
_atom_site_type_symbol
_atom_site_fract_x
_atom_site_fract_y
_atom_site_fract_z
_atom_site_occupancy
Ba1 Ba 0.000 0.500 0.000 1
Ac1 Ac 0.000 0.000 0.500 1
Sn1 Sn 0.500 0.500 0.500 1
```

Values from the calculation:
Calculated density = 6.29 Mg/m³
D(E_F) = 4.09 states/eV/f.u.

***

Most stable: version two

***

Version one
BaAcTlSn: relaxed, GGA-PBE.

The structure in CIF format:
```
data_BaAcTlSn
_space_group_name_H-M_alt 'F -4 3 m'
_space_group_IT_number 216
_space_group_name_Hall 'F -4 2 3'
_cell_length_a 8.371
_cell_length_b 8.371
_cell_length_c 8.371
_cell_angle_alpha 90.00
_cell_angle_beta 90.00
_cell_angle_gamma 90.00
loop_
_atom_site_label
_atom_site_type_symbol
_atom_site_fract_x
_atom_site_fract_y
_atom_site_fract_z
_atom_site_occupancy
Ba1 Ba 0.000 0.000 0.000 1
Ac1 Ac 0.000 0.000 0.500 1
Tl1 Tl 0.250 0.250 0.250 1
Sn1 Sn 0.250 0.250 0.750 1
```

Values from the calculation:
Calculated density = 7.78 Mg/m³
D(E_F) = 2.68 states/eV/f.u.

***

Version two
BaAcTlSn: relaxed, GGA-PBE.

The structure in CIF format:
```
data_BaAcTlSn
_space_group_name_H-M_alt 'A m m 2'
_space_group_IT_number 38
_cell_length_a 4.779
_cell_length_b 5.059
_cell_length_c 12.775
_cell_angle_alpha 90.00
_cell_angle_beta 90.00
_cell_angle_gamma 90.00
loop_
_space_group_symop_operation_xyz
'x,y,z'
'-x,-y,z'
'-x,y,z'
'x,-y,z'
'x,y+1/2,z+1/2'
'-x,-y+1/2,z+1/2'
'-x,y+1/2,z+1/2'
'x,-y+1/2,z+1/2'
loop_
_atom_site_label
_atom_site_type_symbol
_atom_site_fract_x
_atom_site_fract_y
_atom_site_fract_z
_atom_site_occupancy
Ba1 Ba 0.000 0.000 0.000 1
Ac1 Ac 0.500 0.000 0.272 1
Tl1 Tl 0.500 0.000 0.563 1
Sn1 Sn 0.000 0.000 0.720 1
```

Values from the calculation:
Calculated density = 7.39 Mg/m³
D(E_F) = 2.87 states/eV/f.u.

***

Most stable: version two

***

Version one
BaSr6Ac: relaxed, GGA-PBE.

The structure in CIF format:
```
data_BaSr6Ac
_space_group_name_H-M_alt 'C 1 2/m 1'
_space_group_IT_number 12
_cell_length_a 7.892
_cell_length_b 13.667
_cell_length_c 7.975
_cell_angle_alpha 90.00
_cell_angle_beta 90.72
_cell_angle_gamma 90.00
loop_
_space_group_symop_operation_xyz
'x,y,z'
'-x,-y,-z'
'-x,y,-z'
'x,-y,z'
'x+1/2,y+1/2,z'
'-x+1/2,-y+1/2,-z'
'-x+1/2,y+1/2,-z'
'x+1/2,-y+1/2,z'
loop_
_atom_site_label
_atom_site_type_symbol
_atom_site_fract_x
_atom_site_fract_y
_atom_site_fract_z
_atom_site_occupancy
Ba1 Ba 0.000 0.000 0.000 1
Sr1 Sr 0.007 0.500 0.254 1
Sr2 Sr 0.239 0.251 0.746 1
Ac1 Ac 0.000 0.000 0.500 1
```

Values from the calculation:
Calculated density = 3.44 Mg/m³
D(E_F) = 10.12 states/eV/f.u.

***

Version two
BaSr6Ac: relaxed, GGA-PBE.

The structure in CIF format:
```
data_BaSr6Ac
_space_group_name_H-M_alt 'P 4/m m m'
_space_group_IT_number 123
_space_group_name_Hall '-P 4 2'
_cell_length_a 6.636
_cell_length_b 6.636
_cell_length_c 9.604
_cell_angle_alpha 90.00
_cell_angle_beta 90.00
_cell_angle_gamma 90.00
loop_
_atom_site_label
_atom_site_type_symbol
_atom_site_fract_x
_atom_site_fract_y
_atom_site_fract_z
_atom_site_occupancy
Ba1 Ba 0.000 0.000 0.000 1
Sr1 Sr 0.000 0.500 0.262 1
Sr2 Sr 0.500 0.500 0.000 1
Sr3 Sr 0.500 0.500 0.500 1
Ac1 Ac 0.000 0.000 0.500 1
```

Values from the calculation:
Calculated density = 3.49 Mg/m³
D(E_F) = 6.96 states/eV/f.u.

***

Most stable: version two

***

Version one
Ba2Sr2Ac: relaxed, GGA-PBE.

The structure in CIF format:
```
data_Ba2Sr2Ac
_space_group_name_H-M_alt 'I 4/m m m'
_space_group_IT_number 139
_space_group_name_Hall '-I 4 2'
_cell_length_a 7.166
_cell_length_b 7.166
_cell_length_c 11.160
_cell_angle_alpha 90.00
_cell_angle_beta 90.00
_cell_angle_gamma 90.00
loop_
_atom_site_label
_atom_site_type_symbol
_atom_site_fract_x
_atom_site_fract_y
_atom_site_fract_z
_atom_site_occupancy
Ba1 Ba 0.000 0.500 0.250 1
Sr1 Sr 0.000 0.000 0.153 1
Ac1 Ac 0.000 0.000 0.500 1
```

Values from the calculation:
Calculated density = 3.92 Mg/m³
D(E_F) = 10.52 states/eV/f.u.

***

Version two
Ba2Sr2Ac: relaxed, GGA-PBE.

The structure in CIF format:
```
data_Ba2Sr2Ac
_space_group_name_H-M_alt 'I 4/m m m'
_space_group_IT_number 139
_space_group_name_Hall '-I 4 2'
_cell_length_a 4.728
_cell_length_b 4.728
_cell_length_c 30.254
_cell_angle_alpha 90.00
_cell_angle_beta 90.00
_cell_angle_gamma 90.00
loop_
_atom_site_label
_atom_site_type_symbol
_atom_site_fract_x
_atom_site_fract_y
_atom_site_fract_z
_atom_site_occupancy
Ba1 Ba 0.000 0.500 0.250 1
Sr1 Sr 0.000 0.000 0.132 1
Ac1 Ac 0.000 0.000 0.000 1
```

Values from the calculation:
Calculated density = 3.32 Mg/m³
D(E_F) = 10.66 states/eV/f.u.

***

Most stable: version one